This record from Alexandria via LeMat-Bulk describes crystalline CaBeHg2 at its relaxed geometry. The functional is PBE.

Values from the calculation:
- formation energy (meV/atom) = 29
- D(E_F) (states/eV per cell) = 1.71
- space-group type = P4/mmm (123)
- total magnetization (μB per cell) = 0.00

Cell: 3.312 3.312 7.532 Å, 90.00 90.00 90.00°
Fractional positions:
Ca (0.000, 0.000, 0.000)
Be (0.000, 0.000, 0.500)
Hg (0.500, 0.500, 0.295)
Hg (0.500, 0.500, 0.705)


This record from Alexandria via LeMat-Bulk describes crystalline CaBe2Hg at its relaxed geometry. The functional is PBE.

Values from the calculation:
- formation energy (meV/atom) = 215
- D(E_F) (states/eV per cell) = 4.33
- space-group type = I4_1/amd (141)
- total magnetization (μB per cell) = 0.00

Cell: 8.956 8.956 8.956 Å, 151.09 151.09 41.34°
Fractional positions:
Ca (0.375, 0.625, 0.750)
Ca (0.625, 0.375, 0.250)
Be (0.000, 0.000, 0.000)
Be (0.000, 0.000, 0.500)
Be (0.000, 0.500, 0.000)
Be (0.500, 0.000, 0.500)
Hg (0.125, 0.875, 0.250)
Hg (0.875, 0.125, 0.750)


This record from Alexandria via LeMat-Bulk describes crystalline CaBe2Hg at its relaxed geometry. The functional is PBE.

Values from the calculation:
- formation energy (meV/atom) = 395
- D(E_F) (states/eV per cell) = 1.75
- space-group type = P4/mmm (123)
- total magnetization (μB per cell) = 0.00

Cell: 3.372 3.372 6.462 Å, 90.00 90.00 90.00°
Fractional positions:
Ca (0.000, 0.000, 0.000)
Be (0.500, 0.500, 0.317)
Be (0.500, 0.500, 0.683)
Hg (0.000, 0.000, 0.500)


This record from Alexandria via LeMat-Bulk describes crystalline CaBe2Hg at its relaxed geometry. The functional is PBE.

Values from the calculation:
- formation energy (meV/atom) = 481
- D(E_F) (states/eV per cell) = 2.57
- space-group type = C2/m (12)
- total magnetization (μB per cell) = 0.00

Cell: 4.375 4.375 3.771 Å, 91.72 91.72 91.63°
Fractional positions:
Ca (0.000, 0.000, 0.000)
Be (0.000, 0.500, 0.500)
Be (0.500, 0.000, 0.500)
Hg (0.500, 0.500, 0.000)


Question: Look up the total magnetization of the first one.
Answer: 0.00 μB per cell